Entry from the Alexandria database: a relaxed structure of SmDy2Ho (PBE).

The space group is R3m (No. 160, hexagonal axes) and the conventional cell measures 3.5798, 3.5798 and 34.5330 Å, with angles of 90.00, 90.00 and 120.00 degrees. The asymmetric unit holds Sm at (0.0000, 0.0000, 0.0000), Dy at (0.0000, 0.0000, 0.5818), Dy at (0.0000, 0.0000, 0.7505) and Ho at (0.0000, 0.0000, 0.1661).

Its density of states at the Fermi level is 1.4213 states/eV per atom. Its formation energy is 0.014 eV/atom. The value obtained for the spin magnetization is 0.00 μB per formula unit.



Entry from the Alexandria database: a relaxed structure of Sm2Dy5Ho4 (PBE).

The space group is P-1 (No. 2) and the conventional cell measures 3.5236, 8.7512 and 11.6519 Å, with angles of 95.19, 90.03 and 101.61 degrees. The asymmetric unit holds Sm at (0.1358, 0.2726, 0.3136), Dy at (0.0000, 0.0000, 0.5000), Dy at (0.0919, 0.1853, 0.0428), Dy at (0.4598, 0.9195, 0.2181), Ho at (0.2323, 0.4633, 0.8533) and Ho at (0.3211, 0.6427, 0.4266).

Its density of states at the Fermi level is 1.6317 states/eV per atom. Its formation energy is 0.048 eV/atom. The value obtained for the spin magnetization is 0.00 μB per formula unit.



Entry from the Alexandria database: a relaxed structure of Sm2Dy3Ho (PBE).

The space group is Cmcm (No. 63) and the conventional cell measures 14.9473, 9.8870 and 5.6477 Å, with angles of 90.00, 90.00 and 90.00 degrees. The asymmetric unit holds Sm at (0.1081, 0.1027, 0.2500), Dy at (0.0000, 0.4121, 0.2500), Dy at (0.2410, 0.3731, 0.2500) and Ho at (0.0000, 0.2325, 0.7500).

Its density of states at the Fermi level is 1.4391 states/eV per atom. Its formation energy is 0.345 eV/atom. The value obtained for the spin magnetization is 0.00 μB per formula unit.



Entry from the Alexandria database: a relaxed structure of Sm2DyHo2 (PBE).

The space group is C2/c (No. 15) and the conventional cell measures 15.7715, 6.2931 and 6.7593 Å, with angles of 90.00, 103.75 and 90.00 degrees. The asymmetric unit holds Sm at (0.1996, 0.0848, 0.1504), Dy at (0.0000, 0.0832, 0.7500) and Ho at (0.0982, 0.4170, 0.4513).

Its density of states at the Fermi level is 1.7739 states/eV per atom. Its formation energy is 0.016 eV/atom. The value obtained for the spin magnetization is 0.00 μB per formula unit.



Energy above the most stable polymorph in this dataset per entry: 0, 0, 183, 0 meV per atom